[1]
## Pm2PrCu6 (PBE)

Data for Pm2PrCu6 after structural relaxation.

abc: 3.748 7.418 7.418
angles: 120.00 90.00 90.00
Sites, in units of the cell vectors:
Cu 0.500 0.334 0.334
Cu 0.500 0.000 0.334
Cu 0.500 0.334 0.000
Cu 0.500 0.000 0.666
Cu 0.500 0.666 0.000
Cu 0.500 0.666 0.666
Pm 0.000 0.333 0.667
Pm 0.000 0.667 0.333
Pr 0.000 0.000 0.000

## Properties
**DFT total energy**: -4.539 eV/atom
**Polymorph energy (0 for the lowest one)**: 0 meV/atom
**Formation energy**: -5.10 kcal/mol of atoms


[2]
## Ca3ZrV (PBE)

Data for Ca3ZrV after structural relaxation.

abc: 5.663 5.663 5.663
angles: 90.00 90.00 90.00
Sites, in units of the cell vectors:
Zr 0.000 0.000 0.000
Ca 0.000 0.000 0.500
Ca 0.000 0.500 0.000
Ca 0.500 0.000 0.000
V 0.500 0.500 0.500

## Properties
**DFT total energy**: -3.360 eV/atom
**Polymorph energy (0 for the lowest one)**: 342 meV/atom
**Formation energy**: 31.69 kcal/mol of atoms


[3]
## ZnPdRh (PBE)

Data for ZnPdRh after structural relaxation.

abc: 2.841 2.841 5.708
angles: 104.41 104.41 90.00
Sites, in units of the cell vectors:
Pd 0.006 0.006 0.012
Rh 0.326 0.326 0.652
Zn 0.668 0.668 0.336

## Properties
**DFT total energy**: -4.850 eV/atom
**Polymorph energy (0 for the lowest one)**: 19 meV/atom
**Formation energy**: -5.62 kcal/mol of atoms